No. 1
VASP calculation (PBE) on an optimized crystal structure of Pr8NdTm6.

Cell: 9.945 9.945 5.971 Å, 90.00 90.00 120.00°
Sites, in units of the cell vectors:
Pr1 0.053 0.775 0.224
Pr2 0.225 0.278 0.224
Pr3 0.278 0.053 0.776
Pr4 0.333 0.667 0.222
Pr5 0.667 0.333 0.778
Pr6 0.722 0.947 0.224
Pr7 0.775 0.722 0.776
Pr8 0.947 0.225 0.776
Nd1 0.000 0.000 0.500
Tm1 0.094 0.620 0.739
Tm2 0.380 0.474 0.739
Tm3 0.474 0.094 0.261
Tm4 0.526 0.906 0.739
Tm5 0.620 0.526 0.261
Tm6 0.906 0.380 0.261

## Properties
**SG**: P-3
**Uncorrected energy**: -67.35 eV/cell
**Energy of formation from the pure elements**: 0.17 eV/atom
**DOS(E_F)**: 24.2 states/eV/cell


No. 2
VASP calculation (PBE) on an optimized crystal structure of Pr12Nd3Tm.

Cell: 5.225 5.225 20.862 Å, 90.00 90.00 90.00°
Sites, in units of the cell vectors:
Pr1 0.000 0.000 0.000
Pr2 0.000 0.000 0.248
Pr3 0.000 0.000 0.500
Pr4 0.000 0.000 0.752
Pr5 0.000 0.500 0.123
Pr6 0.000 0.500 0.374
Pr7 0.000 0.500 0.626
Pr8 0.000 0.500 0.877
Pr9 0.500 0.000 0.123
Pr10 0.500 0.000 0.374
Pr11 0.500 0.000 0.626
Pr12 0.500 0.000 0.877
Nd1 0.500 0.500 0.248
Nd2 0.500 0.500 0.500
Nd3 0.500 0.500 0.752
Tm1 0.500 0.500 0.000

## Properties
**SG**: P4/mmm
**Uncorrected energy**: -75.95 eV/cell
**Energy of formation from the pure elements**: 0.01 eV/atom
**DOS(E_F)**: 25.3 states/eV/cell


No. 3
VASP calculation (PBE) on an optimized crystal structure of Pr5NdTm.

Cell: 8.122 8.122 5.941 Å, 111.40 111.40 67.01°
Sites, in units of the cell vectors:
Pr1 0.000 0.000 0.000
Pr2 0.250 0.250 0.749
Pr3 0.320 0.680 0.500
Pr4 0.680 0.320 0.500
Pr5 0.750 0.750 0.251
Nd1 0.500 0.500 0.000
Tm1 0.000 0.000 0.500

## Properties
**SG**: C2/m
**Uncorrected energy**: -26.53 eV/cell
**Energy of formation from the pure elements**: 0.94 eV/atom
**DOS(E_F)**: 13.3 states/eV/cell


No. 4
VASP calculation (PBE) on an optimized crystal structure of Pr7Nd4Tm.

Cell: 8.836 8.836 9.472 Å, 114.29 114.29 40.60°
Sites, in units of the cell vectors:
Pr1 0.000 0.000 0.000
Pr2 0.293 0.293 0.778
Pr3 0.294 0.294 0.126
Pr4 0.419 0.419 0.566
Pr5 0.581 0.581 0.434
Pr6 0.706 0.706 0.874
Pr7 0.707 0.707 0.222
Nd1 0.073 0.073 0.700
Nd2 0.173 0.173 0.389
Nd3 0.827 0.827 0.611
Nd4 0.927 0.927 0.300
Tm1 0.500 0.500 0.000

## Properties
**SG**: C2/m
**Uncorrected energy**: -54.51 eV/cell
**Energy of formation from the pure elements**: 0.21 eV/atom
**DOS(E_F)**: 19.3 states/eV/cell


Which of these has the highest uncorrected energy?
Pr5NdTm


What is the uncorrected energy in the third record?
-26.53 eV/cell